Entry from the Alexandria database: an optimized crystal structure of NaCr2RhO8 (PBE with a Hubbard U).

Computed properties:
The value obtained for the uncorrected energy is -0.47303 Ry/atom. Its space group is P-3, No. 147.

a = 5.2098 Å, b = 5.2098 Å, c = 7.1119 Å
α = 90.00°, β = 90.00°, γ = 120.00°
Closest atoms and distances in Å follow each position.
Atoms (fractional coordinates):
Na 0.0000 0.0000 0.0000  12 O 2.81-3.01
Cr 0.3333 0.6667 0.7439  4 O 1.62-1.69
Cr 0.6667 0.3333 0.2561  4 O 1.62-1.69
Rh 0.0000 0.0000 0.5000  6 O 2.00
O 0.0611 0.3286 0.6730  1 Cr 1.69
O 0.2674 0.9389 0.6730  1 Cr 1.69
O 0.3286 0.2674 0.3270  1 Cr 1.69
O 0.3333 0.6667 0.9724  1 Cr 1.62
O 0.6667 0.3333 0.0276  1 Cr 1.62
O 0.6714 0.7326 0.6730  1 Cr 1.69
O 0.7326 0.0611 0.3270  1 Cr 1.69
O 0.9389 0.6714 0.3270  1 Cr 1.69